1.
{
  "formula": "PmYTh2N4",
  "functional": "PBE",
  "state": "relaxed",
  "dft_energy_ev_per_fu": -71.9,
  "space_group": "P2/m (10)",
  "lattice_angstrom": [[3.621, 0.000, 0.000], [0.000, 6.272, 0.111], [0.000, -2.190, 5.825]],
  "species": ["Th", "Th", "Pm", "N", "N", "N", "N", "Y"],
  "fractional_positions": [[0.500, 0.000, 0.500], [0.000, 0.500, 0.500], [0.500, 0.500, 0.000], [0.000, 0.757, 0.256], [0.000, 0.243, 0.744], [0.500, 0.754, 0.748], [0.500, 0.246, 0.252], [0.000, 0.000, 0.000]]
}



2.
{
  "formula": "LaTcRu",
  "functional": "PBE",
  "state": "relaxed",
  "polymorph_energy_mev_per_atom": 632,
  "ef_ev_per_atom": 0.5667,
  "space_group": "F-43m (216)",
  "lattice_angstrom": [[-4.313, -0.631, -1.298], [-1.013, -0.381, -4.418], [-1.300, -4.015, -1.697]],
  "species": ["Ru", "Tc", "La"],
  "fractional_positions": [[0.750, 0.750, 0.750], [0.000, 0.000, 0.000], [0.500, 0.500, 0.500]]
}



3.
{
  "formula": "Ca2NbCdH",
  "functional": "PBE",
  "state": "relaxed",
  "dft_energy_ev_per_fu": -12.3,
  "space_group": "P4/mmm (123)",
  "lattice_angstrom": [[5.905, 0.000, 0.000], [0.000, 5.386, 0.000], [0.000, 0.000, 5.905]],
  "species": ["Ca", "Ca", "H", "Cd", "Nb"],
  "fractional_positions": [[0.500, 0.000, 0.000], [0.000, 0.000, 0.500], [0.500, 0.500, 0.500], [0.000, 0.500, 0.000], [0.000, 0.000, 0.000]]
}



4.
{
  "formula": "Cd3AgTe",
  "functional": "PBE",
  "state": "relaxed",
  "polymorph_energy_mev_per_atom": 0,
  "space_group": "Pm-3m (221)",
  "lattice_angstrom": [[5.286, 0.000, 0.000], [0.000, 5.286, 0.000], [0.000, 0.000, 5.286]],
  "species": ["Ag", "Cd", "Cd", "Cd", "Te"],
  "fractional_positions": [[0.000, 0.000, 0.000], [0.000, 0.500, 0.000], [0.000, 0.000, 0.500], [0.500, 0.000, 0.000], [0.500, 0.500, 0.500]]
}



5.
{
  "formula": "KMo3As",
  "functional": "PBE",
  "state": "relaxed",
  "polymorph_energy_mev_per_atom": 0,
  "ef_ev_per_atom": 1.4906,
  "space_group": "Pm-3m (221)",
  "lattice_angstrom": [[4.794, 0.000, 0.000], [0.000, 4.794, 0.000], [0.000, 0.000, 4.794]],
  "species": ["Mo", "Mo", "Mo", "As", "K"],
  "fractional_positions": [[0.000, 0.000, 0.500], [0.500, 0.000, 0.000], [0.000, 0.500, 0.000], [0.000, 0.000, 0.000], [0.500, 0.500, 0.500]]
}



6.
{
  "formula": "K2BaTa",
  "functional": "PBE",
  "state": "relaxed",
  "polymorph_energy_mev_per_atom": 42,
  "ef_ev_per_atom": 1.0257,
  "space_group": "R3m (160)",
  "lattice_angstrom": [[14.112, 0.001, 0.001], [13.653, 3.570, 0.001], [13.653, 1.756, 3.108]],
  "species": ["K", "K", "Ba", "Ta"],
  "fractional_positions": [[0.235, 0.235, 0.235], [0.002, 0.002, 0.002], [0.766, 0.766, 0.766], [0.496, 0.496, 0.496]]
}